Hf3P2: relaxed, GGA-PBE.

Properties
ΔH_f (0 K) (meV/atom): -998.8
Uncorrected energy (eV per atom): -9.13
Offset from the most stable computed form (meV per atom): 159.0
Density (kg/m3): 10281

```
Hf3P2
1.0
-2.9467 1.7547 1.0011
-2.5701 -0.2703 -7.0912
-3.0747 -6.2126 1.8390
P Hf
4 6
Direct
0.2500 0.8145 0.3635
0.7500 0.1855 0.6365
0.2500 0.7436 0.8679
0.7500 0.2564 0.1321
0.2500 0.1223 0.8840
0.7500 0.8777 0.1160
0.7500 0.4826 0.8273
0.2500 0.1537 0.3791
0.2500 0.5174 0.1727
0.7500 0.8463 0.6209
```

Hg2PtW: relaxed, GGA-PBE.

Properties
ΔH_f (0 K) (meV/atom): 539.0
Uncorrected energy (eV per atom): -4.36
Offset from the most stable computed form (meV per atom): 333.0
Density (kg/m3): 17886

```
Hg2PtW
1.0
-2.2248 0.0570 1.8391
-1.7666 -0.8404 -2.1232
1.4850 -8.3114 2.0543
W Hg Pt
1 2 1
Direct
0.5000 0.5000 0.7500
0.0000 0.0000 0.0050
0.0000 0.0000 0.4950
0.5000 0.5000 0.2500
```